[1]
DFT (PBE-GGA) results for a relaxed Tb3PmY2S6 crystal.

Computed properties:
density of states at the Fermi level	4.953	states/eV/cell
formation energy from raw total energies	-2.01	eV/atom
symmetry	No. 12
calculated total energy	-6.7067	eV/atom
magnetization	0.0	μB/cell

```
Tb3PmY2S6
1.0
-5.7674 -0.3066 3.6541
0.9267 -4.1937 -5.3164
4.3186 -2.8428 4.4546
Tb Pm Y S
3 1 2 6
Cartesian
1.9906 -4.9790 -1.6212
-2.5127 -2.3641 4.4135
-0.2610 -3.6715 1.3962
0.0000 0.0000 0.0000
-1.3076 -2.8963 -2.3223
-3.5331 -1.6040 0.6600
-1.5224 -4.8178 3.6108
-2.5174 -4.0618 -0.1185
1.0003 -2.5253 -0.8184
0.7525 -6.1387 0.5624
1.9954 -3.2813 2.9109
-1.2745 -1.2044 2.2299
```

[2]
DFT (PBE-GGA) results for a relaxed TbPm3Y2S6 crystal.

Computed properties:
density of states at the Fermi level	5.291	states/eV/cell
formation energy from raw total energies	-2.02	eV/atom
symmetry	No. 12
calculated total energy	-6.7382	eV/atom
magnetization	0.0	μB/cell

```
TbPm3Y2S6
1.0
-5.4144 4.2338 -0.1710
1.1115 -3.9677 5.5039
5.0524 4.6421 0.8989
Tb Pm Y S
1 3 2 6
Cartesian
0.0000 0.0000 0.0000
2.5512 -0.2812 5.0085
-1.8018 5.1895 1.2232
0.3747 2.4542 3.1159
-1.0638 -1.2339 3.6123
-3.2391 1.5000 1.7206
-0.4877 5.1011 3.7539
-2.0004 1.3086 4.1917
1.2372 -0.1928 2.4778
1.6913 2.3626 5.6488
2.7499 3.5997 2.0400
-0.9418 2.5457 0.5830
```

[3]
DFT (PBE-GGA) results for a relaxed TbPm2YS4 crystal.

Computed properties:
density of states at the Fermi level	4.684	states/eV/cell
formation energy from raw total energies	-2.02	eV/atom
symmetry	No. 10
calculated total energy	-6.6580	eV/atom
magnetization	0.0	μB/cell

```
TbPm2YS4
1.0
3.9356 0.0000 0.0000
0.0000 6.8743 0.1300
0.0000 -2.3838 6.5368
Tb Pm Y S
1 2 1 4
Cartesian
1.9678 3.4372 0.0650
1.9678 -1.1919 3.2684
0.0000 2.2452 3.3334
0.0000 0.0000 0.0000
1.9678 1.1198 1.5930
1.9678 3.3707 5.0738
0.0000 -0.0723 5.0061
0.0000 4.5628 1.6608
```

[4]
DFT (PBE-GGA) results for a relaxed Tb3Pm3YS8 crystal.

Computed properties:
density of states at the Fermi level	6.885	states/eV/cell
formation energy from raw total energies	-2.06	eV/atom
symmetry	No. 166
calculated total energy	-6.5721	eV/atom
magnetization	0.0	μB/cell

```
Tb3Pm3YS8
1.0
7.9177 0.0000 0.0000
-3.9589 6.8568 -0.0239
0.0000 -4.5487 6.5334
Tb Pm Y S
3 3 1 8
Cartesian
3.9589 -2.2743 3.2667
1.9794 1.1541 3.2547
-1.9794 1.1541 3.2547
0.0000 0.0000 0.0000
-1.9794 3.4284 -0.0119
1.9794 3.4284 -0.0119
0.0000 -2.2743 3.2667
0.0000 2.2915 1.6830
3.9589 0.0167 4.8265
3.9589 2.2855 1.6787
0.0000 0.0227 4.8308
5.9332 -1.1340 1.6907
-1.9743 3.4422 4.8188
1.9845 -1.1340 1.6907
1.9744 3.4422 4.8188
```